No. 1
# LiLaHg6

A relaxed structure of LiLaHg6 (GGA-PBE, Alexandria).

## Properties
Offset from the most stable computed form, eV/atom: 0.017
E_form, eV/f.u.: -2.3

```
LiLaHg6
1.0
-2.0876 -2.1622 4.0836
6.1443 -1.8288 2.1728
-2.5976 5.9750 1.8358
Li La Hg
1 1 6
Cartesian
-0.0151 1.6568 4.0173
-1.8631 5.3193 1.8641
-0.5018 2.3499 0.9877
1.1999 4.3392 2.9110
2.4344 1.4830 2.0298
1.3816 -1.3266 3.1517
3.0661 0.6427 5.0556
4.3071 -2.2016 4.1840
```

No. 2
# K2SiW

A relaxed structure of K2SiW (GGA-PBE, Alexandria).

## Properties
Energy relative to the elements, uncorrected, meV per atom: 1190

```
K2SiW
1.0
-4.8702 2.6273 -2.3241
-0.7694 -2.4989 -1.2127
-2.7686 -1.8017 3.7650
K Si W
2 1 1
Cartesian
-0.0431 -0.0931 -0.0150
-1.7260 -2.0572 1.2912
-3.3196 0.2385 -0.5240
-5.0886 -1.9119 0.7522
```

No. 3
# Cs3Na5As2

A relaxed structure of Cs3Na5As2 (GGA-PBE, Alexandria).

## Properties
E_form, eV/f.u.: -1.9

```
Cs3Na5As2
1.0
-6.6321 -4.3104 -0.9631
2.1407 -9.1769 -6.6317
0.3172 -9.3547 6.7206
Cs Na As
6 10 4
Cartesian
-1.6580 -1.0776 -0.2408
-4.9741 -3.2328 -0.7223
-1.1582 -13.6741 3.2506
-3.0160 -9.1678 -4.1247
-3.5116 -15.7355 -4.2798
-0.6625 -7.1065 3.4057
-0.4291 -10.3434 -0.1963
-3.7451 -12.4986 -0.6778
-1.3277 -16.2806 -0.3981
0.4695 -4.4061 0.0055
-2.8465 -6.5613 -0.4761
-4.6437 -18.4358 -0.8796
0.6616 -7.8125 -2.5529
-4.8358 -15.0295 1.6788
-3.3351 -10.0341 1.9502
-0.8390 -12.8079 -2.8243
0.7555 -16.2448 1.5777
-4.9296 -6.5971 -2.4518
-2.1073 -18.3558 -2.2229
-2.0669 -4.4862 1.3488
```

No. 4
# Pm2NpBiO8

A relaxed structure of Pm2NpBiO8 (GGA-PBE, Alexandria).

## Properties
Energy relative to the elements, uncorrected, meV per atom: -2638

```
Pm2NpBiO8
1.0
-1.9812 -2.3357 4.2435
4.8318 -0.2437 2.0032
-0.9569 6.4254 3.0899
Pm Np Bi O
2 1 1 8
Cartesian
0.7137 3.4888 5.4212
1.1800 0.3573 3.9154
0.0000 0.0000 0.0000
-0.4784 3.2127 1.5450
3.3868 0.7599 3.0747
2.0727 -1.8739 4.5387
-0.9483 -0.5723 4.5027
-1.4931 3.0862 6.2620
-0.1790 5.7200 4.7979
2.8420 4.4184 4.8339
1.4933 1.4325 5.8578
0.4004 2.4136 3.4788
```

No. 5
# Dy6Y3Tm2

A relaxed structure of Dy6Y3Tm2 (GGA-PBE, Alexandria).

## Properties
Offset from the most stable computed form, eV/atom: 0.261
E_form, eV/f.u.: 3.1

```
Dy6Y3Tm2
1.0
4.7171 0.0000 0.0000
0.0000 4.7171 0.0000
-2.3585 -2.3585 16.4819
Dy Y Tm
6 3 2
Cartesian
0.0000 2.3585 3.9521
2.3585 0.0000 3.9521
2.3585 0.0000 12.5299
0.0000 2.3585 12.5299
2.3585 2.3585 6.3863
0.0000 0.0000 10.0956
0.0000 0.0000 0.0000
2.3585 2.3585 9.8415
0.0000 0.0000 6.6405
0.0000 0.0000 14.9687
2.3585 2.3585 1.5133
```

No. 6
# ZrSiSe2N

A relaxed structure of ZrSiSe2N (GGA-PBE, Alexandria).

## Properties
Offset from the most stable computed form, eV/atom: 0.000
Energy relative to the elements, uncorrected, meV per atom: -171

```
ZrSiSe2N
1.0
5.0365 0.0000 0.0000
0.0000 5.0365 0.0000
0.0000 0.0000 3.3623
Si Se Zr N
1 2 1 1
Cartesian
0.0000 0.0000 0.0000
0.0000 2.5182 0.0000
2.5182 0.0000 0.0000
2.5182 2.5182 1.6811
0.0000 0.0000 1.6811
```

No. 7
# Na2CdReOs

A relaxed structure of Na2CdReOs (GGA-PBE, Alexandria).

## Properties
E_form, eV/f.u.: 6.9

```
Na2CdReOs
1.0
5.5125 0.0000 0.0000
0.0000 4.6561 0.0000
0.0000 0.0000 5.5125
Na Re Os Cd
2 1 1 1
Cartesian
0.0000 0.0000 2.7563
2.7563 0.0000 0.0000
0.0000 2.3280 0.0000
0.0000 0.0000 0.0000
2.7563 2.3280 2.7563
```

No. 8
# Bi2HSe2

A relaxed structure of Bi2HSe2 (GGA-PBE, Alexandria).

## Properties
Raw total energy, eV per atom: -3.625

```
Bi2HSe2
1.0
-4.1384 3.9776 -1.2079
-3.9428 -4.2958 -0.6376
-4.9059 0.0788 2.8252
H Bi Se
1 2 2
Cartesian
0.0000 0.0000 0.0000
-4.4388 -0.0496 0.8018
-8.5483 -0.1898 0.1778
-6.5424 1.9486 0.3473
-6.4447 -2.1881 0.6324
```